# 1
Below is ZnCuP2O7 at its PBEsol-relaxed geometry, with properties calculated at the SCAN level.

Computed properties:
Formation energy without anion corrections (eV/atom): -2.04
ΔE to the lowest computed polymorph (kcal/mol of atoms): 0.38
Crystal system: monoclinic
E (eV per atom): -10.511

abc: 5.296 5.296 4.547
angles: 101.01 101.01 101.41
Fractional coordinates of all 11 atoms:
Zn (0.000, 0.000, 0.000)
Cu (0.621, 0.379, 0.000)
P (0.106, 0.478, 0.593)
P (0.522, 0.894, 0.407)
O (0.250, 0.313, 0.779)
O (0.329, 0.671, 0.500)
O (0.366, 0.049, 0.227)
O (0.687, 0.750, 0.221)
O (0.693, 0.076, 0.719)
O (0.924, 0.307, 0.281)
O (0.951, 0.634, 0.773)

# 2
Below is ZnCuP2O7 at its PBEsol-relaxed geometry, with properties calculated at the SCAN level.

Computed properties:
Formation energy without anion corrections (eV/atom): -2.06
ΔE to the lowest computed polymorph (kcal/mol of atoms): 0.00
Crystal system: monoclinic
E (eV per atom): -10.528

abc: 6.891 8.225 9.057
angles: 90.00 111.63 90.00
Fractional coordinates of all 44 atoms:
Zn (0.236, 0.065, 0.106)
Zn (0.236, 0.435, 0.606)
Zn (0.764, 0.565, 0.394)
Zn (0.764, 0.935, 0.894)
Cu (0.283, 0.060, 0.657)
Cu (0.283, 0.440, 0.157)
Cu (0.717, 0.560, 0.843)
Cu (0.717, 0.940, 0.343)
P (0.052, 0.734, 0.736)
P (0.052, 0.766, 0.236)
P (0.455, 0.727, 0.026)
P (0.455, 0.773, 0.526)
P (0.545, 0.227, 0.474)
P (0.545, 0.273, 0.974)
P (0.948, 0.234, 0.764)
P (0.948, 0.266, 0.264)
O (0.018, 0.597, 0.615)
O (0.018, 0.903, 0.115)
O (0.098, 0.603, 0.181)
O (0.098, 0.897, 0.681)
O (0.133, 0.243, 0.706)
O (0.133, 0.257, 0.206)
O (0.243, 0.672, 0.889)
O (0.243, 0.828, 0.389)
O (0.377, 0.234, 0.549)
O (0.377, 0.266, 0.049)
O (0.432, 0.609, 0.594)
O (0.432, 0.891, 0.094)
O (0.497, 0.587, 0.147)
O (0.497, 0.913, 0.647)
O (0.503, 0.087, 0.353)
O (0.503, 0.413, 0.853)
O (0.568, 0.109, 0.906)
O (0.568, 0.391, 0.406)
O (0.623, 0.734, 0.951)
O (0.623, 0.766, 0.451)
O (0.757, 0.172, 0.611)
O (0.757, 0.328, 0.111)
O (0.867, 0.743, 0.794)
O (0.867, 0.757, 0.294)
O (0.902, 0.103, 0.319)
O (0.902, 0.397, 0.819)
O (0.982, 0.097, 0.885)
O (0.982, 0.403, 0.385)

# 3
Below is Sr2YCu3Pb2O8 at its PBEsol-relaxed geometry, with properties calculated at the SCAN level.

Computed properties:
Formation energy without anion corrections (eV/atom): -1.92
ΔE to the lowest computed polymorph (kcal/mol of atoms): 0.08
Crystal system: monoclinic
E (eV per atom): -21.883

abc: 3.796 3.779 15.608
angles: 90.00 91.36 90.00
Fractional coordinates of all 16 atoms:
Sr (0.022, 0.000, 0.220)
Sr (0.978, 0.000, 0.780)
Y (0.000, 0.000, 0.000)
Cu (0.000, 0.000, 0.500)
Cu (0.490, 0.500, 0.896)
Cu (0.510, 0.500, 0.104)
Pb (0.487, 0.500, 0.611)
Pb (0.513, 0.500, 0.389)
O (0.009, 0.500, 0.092)
O (0.096, 0.000, 0.385)
O (0.472, 0.500, 0.749)
O (0.491, 0.000, 0.908)
O (0.509, 0.000, 0.092)
O (0.528, 0.500, 0.251)
O (0.904, 0.000, 0.615)
O (0.991, 0.500, 0.908)

# 4
Below is Sr2YCu3Pb2O8 at its PBEsol-relaxed geometry, with properties calculated at the SCAN level.

Computed properties:
Formation energy without anion corrections (eV/atom): -1.92
ΔE to the lowest computed polymorph (kcal/mol of atoms): 0.00
Crystal system: orthorhombic
E (eV per atom): -21.887

abc: 5.318 15.670 5.384
angles: 90.00 90.00 90.00
Fractional coordinates of all 32 atoms:
Sr (0.000, 0.220, 0.000)
Sr (0.000, 0.780, 0.000)
Sr (0.500, 0.220, 0.500)
Sr (0.500, 0.780, 0.500)
Y (0.000, 0.000, 0.000)
Y (0.500, 0.000, 0.500)
Cu (0.000, 0.105, 0.500)
Cu (0.000, 0.500, 0.000)
Cu (0.000, 0.895, 0.500)
Cu (0.500, 0.105, 0.000)
Cu (0.500, 0.500, 0.500)
Cu (0.500, 0.895, 0.000)
Pb (0.000, 0.389, 0.494)
Pb (0.000, 0.611, 0.506)
Pb (0.500, 0.389, 0.006)
Pb (0.500, 0.611, 0.994)
O (0.000, 0.250, 0.510)
O (0.000, 0.384, 0.058)
O (0.000, 0.616, 0.942)
O (0.000, 0.750, 0.490)
O (0.250, 0.091, 0.750)
O (0.250, 0.093, 0.250)
O (0.250, 0.907, 0.750)
O (0.250, 0.909, 0.250)
O (0.500, 0.250, 0.990)
O (0.500, 0.384, 0.442)
O (0.500, 0.616, 0.558)
O (0.500, 0.750, 0.010)
O (0.750, 0.091, 0.750)
O (0.750, 0.093, 0.250)
O (0.750, 0.907, 0.750)
O (0.750, 0.909, 0.250)

# 5
Below is Pr2Cu2O5 at its PBEsol-relaxed geometry, with properties calculated at the SCAN level.

Computed properties:
Formation energy without anion corrections (eV/atom): -2.35
Crystal system: orthorhombic
E (eV per atom): -18.815

abc: 5.506 10.159 3.791
angles: 90.00 90.00 90.00
Fractional coordinates of all 18 atoms:
Pr (0.163, 0.146, 0.000)
Pr (0.337, 0.646, 0.000)
Pr (0.663, 0.354, 0.000)
Pr (0.837, 0.854, 0.000)
Cu (0.190, 0.403, 0.500)
Cu (0.310, 0.903, 0.500)
Cu (0.690, 0.097, 0.500)
Cu (0.810, 0.597, 0.500)
O (0.000, 0.000, 0.500)
O (0.082, 0.715, 0.500)
O (0.215, 0.398, 0.000)
O (0.285, 0.898, 0.000)
O (0.418, 0.215, 0.500)
O (0.500, 0.500, 0.500)
O (0.582, 0.785, 0.500)
O (0.715, 0.102, 0.000)
O (0.785, 0.602, 0.000)
O (0.918, 0.285, 0.500)

# 6
Below is PrCuO2 at its PBEsol-relaxed geometry, with properties calculated at the SCAN level.

Computed properties:
Formation energy without anion corrections (eV/atom): -2.45
Crystal system: trigonal
E (eV per atom): -20.195

abc: 6.037 6.037 6.037
angles: 36.26 36.26 36.26
Fractional coordinates of all 4 atoms:
Pr (0.000, 0.000, 0.000)
Cu (0.500, 0.500, 0.500)
O (0.394, 0.394, 0.394)
O (0.606, 0.606, 0.606)

# 7
Below is Sr6Pr3Cu6O17 at its PBEsol-relaxed geometry, with properties calculated at the SCAN level.

Computed properties:
Formation energy without anion corrections (eV/atom): -2.33
Crystal system: orthorhombic
E (eV per atom): -16.730

abc: 11.661 11.661 11.661
angles: 121.52 61.88 161.53
Fractional coordinates of all 32 atoms:
Sr (0.171, 0.314, 0.500)
Sr (0.171, 0.671, 0.857)
Sr (0.197, 0.000, 0.197)
Sr (0.803, 0.000, 0.803)
Sr (0.814, 0.314, 0.143)
Sr (0.814, 0.671, 0.500)
Pr (0.010, 0.305, 0.296)
Pr (0.010, 0.714, 0.704)
Pr (0.995, 0.995, 0.000)
Cu (0.370, 0.956, 0.414)
Cu (0.396, 0.352, 0.751)
Cu (0.396, 0.645, 0.044)
Cu (0.542, 0.956, 0.586)
Cu (0.601, 0.352, 0.956)
Cu (0.601, 0.645, 0.249)
O (0.092, 0.141, 0.236)
O (0.092, 0.855, 0.951)
O (0.228, 0.728, 0.500)
O (0.299, 0.343, 0.642)
O (0.299, 0.657, 0.956)
O (0.341, 0.020, 0.320)
O (0.416, 0.160, 0.580)
O (0.416, 0.836, 0.256)
O (0.495, 0.358, 0.862)
O (0.495, 0.633, 0.138)
O (0.580, 0.160, 0.744)
O (0.580, 0.836, 0.420)
O (0.700, 0.020, 0.680)
O (0.701, 0.343, 0.044)
O (0.701, 0.657, 0.358)
O (0.905, 0.141, 0.049)
O (0.905, 0.855, 0.764)

# 8
Below is Sr2Pr2Tl2Cu3O10 at its PBEsol-relaxed geometry, with properties calculated at the SCAN level.

Computed properties:
Formation energy without anion corrections (eV/atom): -1.93
Crystal system: tetragonal
E (eV per atom): -22.135

abc: 17.736 17.736 17.736
angles: 167.46 167.46 17.77
Fractional coordinates of all 19 atoms:
Sr (0.147, 0.147, 0.000)
Sr (0.853, 0.853, 0.000)
Pr (0.049, 0.049, 0.000)
Pr (0.951, 0.951, 0.000)
Tl (0.282, 0.282, 0.000)
Tl (0.718, 0.718, 0.000)
Cu (0.405, 0.405, 0.000)
Cu (0.500, 0.500, 0.000)
Cu (0.595, 0.595, 0.000)
O (0.000, 0.500, 0.500)
O (0.091, 0.591, 0.500)
O (0.219, 0.219, 0.000)
O (0.342, 0.342, 0.000)
O (0.409, 0.909, 0.500)
O (0.500, 0.000, 0.500)
O (0.591, 0.091, 0.500)
O (0.658, 0.658, 0.000)
O (0.781, 0.781, 0.000)
O (0.909, 0.409, 0.500)